Entry 1:
# Ho2Mg2In3 | the Alexandria database | PBE | relaxed
# Spin magnetization in μB/f.u.: 0.0
# Theoretical density in g/cm3: 6.420
# Space-group type: P-1
# ΔE_f in kJ/mol of atoms: -21.1
data_Ho2Mg2In3
_chemical_formula_sum 'Ho2 Mg2 In3'
_symmetry_space_group_name_H-M 'P 1'
_symmetry_Int_Tables_number 1
_symmetry_space_group_name_Hall 'P 1'
_cell_length_a 5.038
_cell_length_b 5.051
_cell_length_c 8.934
_cell_angle_alpha 74.04
_cell_angle_beta 89.80
_cell_angle_gamma 60.09
loop_
_atom_site_label
_atom_site_type_symbol
_atom_site_fract_x
_atom_site_fract_y
_atom_site_fract_z
Ho1 Ho 0.121 0.258 0.355
Ho2 Ho 0.879 0.742 0.645
Mg1 Mg 0.377 0.748 0.113
Mg2 Mg 0.623 0.252 0.887
In1 In 0.250 0.998 0.767
In2 In 0.500 0.500 0.500
In3 In 0.750 0.002 0.233


Entry 2:
# Dy2CuGe3Ir4 | the Alexandria database | PBE | relaxed
# Spin magnetization in μB/f.u.: 0.0
# Theoretical density in g/cm3: 12.805
# Space-group type: P-4m2
# ΔE_f in kJ/mol of atoms: -65.3
data_Dy2CuGe3Ir4
_chemical_formula_sum 'Dy2 Cu1 Ge3 Ir4'
_symmetry_space_group_name_H-M 'P 1'
_symmetry_Int_Tables_number 1
_symmetry_space_group_name_Hall 'P 1'
_cell_length_a 4.141
_cell_length_b 4.141
_cell_length_c 10.401
_cell_angle_alpha 90.00
_cell_angle_beta 90.00
_cell_angle_gamma 90.00
loop_
_atom_site_label
_atom_site_type_symbol
_atom_site_fract_x
_atom_site_fract_y
_atom_site_fract_z
Dy1 Dy 0.000 0.500 0.248
Dy2 Dy 0.500 0.000 0.752
Cu1 Cu 0.500 0.500 0.000
Ge1 Ge 0.000 0.000 0.000
Ge2 Ge 0.000 0.500 0.632
Ge3 Ge 0.500 0.000 0.368
Ir1 Ir 0.000 0.000 0.500
Ir2 Ir 0.000 0.500 0.864
Ir3 Ir 0.500 0.000 0.136
Ir4 Ir 0.500 0.500 0.500


Copy entry 2 word for word.
# Dy2CuGe3Ir4 | the Alexandria database | PBE | relaxed
# Spin magnetization in μB/f.u.: 0.0
# Theoretical density in g/cm3: 12.805
# Space-group type: P-4m2
# ΔE_f in kJ/mol of atoms: -65.3
data_Dy2CuGe3Ir4
_chemical_formula_sum 'Dy2 Cu1 Ge3 Ir4'
_symmetry_space_group_name_H-M 'P 1'
_symmetry_Int_Tables_number 1
_symmetry_space_group_name_Hall 'P 1'
_cell_length_a 4.141
_cell_length_b 4.141
_cell_length_c 10.401
_cell_angle_alpha 90.00
_cell_angle_beta 90.00
_cell_angle_gamma 90.00
loop_
_atom_site_label
_atom_site_type_symbol
_atom_site_fract_x
_atom_site_fract_y
_atom_site_fract_z
Dy1 Dy 0.000 0.500 0.248
Dy2 Dy 0.500 0.000 0.752
Cu1 Cu 0.500 0.500 0.000
Ge1 Ge 0.000 0.000 0.000
Ge2 Ge 0.000 0.500 0.632
Ge3 Ge 0.500 0.000 0.368
Ir1 Ir 0.000 0.000 0.500
Ir2 Ir 0.000 0.500 0.864
Ir3 Ir 0.500 0.000 0.136
Ir4 Ir 0.500 0.500 0.500